[1]
# CuAgBiCl6 (GGA-PBE, relaxed)
# - Formation energy without anion corrections: -0.660 eV/atom
# - DOS(E_F): 5.0 states/eV/f.u.
# - Volume: 25.3 Å³ per atom
# - M_tot: 0.114 μB/atom
data_CuAgBiCl6
_chemical_formula_sum 'Cu2 Ag2 Bi2 Cl12'
_symmetry_space_group_name_H-M 'P -3 1 c'
_symmetry_Int_Tables_number 163
_symmetry_space_group_name_Hall '-P 3 2c'
_cell_length_a 6.6093
_cell_length_b 6.6093
_cell_length_c 12.0218
_cell_angle_alpha 90.00
_cell_angle_beta 90.00
_cell_angle_gamma 120.00
loop_
_atom_site_label
_atom_site_type_symbol
_atom_site_fract_x
_atom_site_fract_y
_atom_site_fract_z
Cu1 Cu 0.3333 0.6667 0.2500
Ag1 Ag 0.0000 0.0000 0.0000
Bi1 Bi 0.3333 0.6667 0.7500
Cl1 Cl 0.0313 0.3605 0.1293



[2]
# Ag3BiCl2F6 (GGA-PBE, relaxed)
# - Formation energy without anion corrections: -1.322 eV/atom
# - DOS(E_F): 8.8 states/eV/f.u.
# - Volume: 19.1 Å³ per atom
# - M_tot: 0.093 μB/atom
data_Ag3BiCl2F6
_chemical_formula_sum 'Ag6 Bi2 Cl4 F12'
_symmetry_space_group_name_H-M 'C 1 2/m 1'
_symmetry_Int_Tables_number 12
_cell_length_a 13.130
_cell_length_b 6.997
_cell_length_c 4.997
_cell_angle_alpha 90.00
_cell_angle_beta 92.36
_cell_angle_gamma 90.00
loop_
_symmetry_equiv_pos_as_xyz
'x,y,z'
'-x,-y,-z'
'-x,y,-z'
'x,-y,z'
'x+1/2,y+1/2,z'
'-x+1/2,-y+1/2,-z'
'-x+1/2,y+1/2,-z'
'x+1/2,-y+1/2,z'
loop_
_atom_site_label
_atom_site_type_symbol
_atom_site_fract_x
_atom_site_fract_y
_atom_site_fract_z
Ag1 Ag 0.000 0.000 0.000
Ag2 Ag 0.250 0.250 0.500
Bi1 Bi 0.000 0.500 0.500
Cl1 Cl 0.171 0.000 0.780
F1 F 0.066 0.263 0.255
F2 F 0.160 0.500 0.693



[3]
# Ag2BiHCl6 (GGA-PBE, relaxed)
# - DOS(E_F): 0.0 states/eV/f.u.
# - Volume: 25.4 Å³ per atom
# - Raw total energy: -3.003 eV/atom
# - M_tot: 0.000 μB/atom
data_Ag2BiHCl6
_chemical_formula_sum 'Ag4 Bi2 H2 Cl12'
_symmetry_space_group_name_H-M 'P 1 21/c 1'
_symmetry_Int_Tables_number 14
_cell_length_a 6.500
_cell_length_b 5.895
_cell_length_c 14.756
_cell_angle_alpha 90.00
_cell_angle_beta 116.02
_cell_angle_gamma 90.00
loop_
_symmetry_equiv_pos_as_xyz
'x,y,z'
'-x,-y,-z'
'-x,y+1/2,-z+1/2'
'x,-y+1/2,z+1/2'
loop_
_atom_site_label
_atom_site_type_symbol
_atom_site_fract_x
_atom_site_fract_y
_atom_site_fract_z
Ag1 Ag 0.206 0.005 0.207
Bi1 Bi 0.500 0.000 0.000
H1 H 0.000 0.000 0.500
Cl1 Cl 0.139 0.221 0.501
Cl2 Cl 0.166 0.734 0.347
Cl3 Cl 0.468 0.732 0.652



[4]
# AgBiICl2 (GGA-PBE, relaxed)
# - Formation energy without anion corrections: 0.445 eV/atom
# - DOS(E_F): 2.7 states/eV/f.u.
# - Volume: 36.7 Å³ per atom
# - M_tot: 0.151 μB/atom
data_AgBiICl2
_chemical_formula_sum 'Ag1 Bi1 I1 Cl2'
_symmetry_space_group_name_H-M 'P 4/m m m'
_symmetry_Int_Tables_number 123
_symmetry_space_group_name_Hall '-P 4 2'
_cell_length_a 5.415
_cell_length_b 5.415
_cell_length_c 6.259
_cell_angle_alpha 90.00
_cell_angle_beta 90.00
_cell_angle_gamma 90.00
loop_
_atom_site_label
_atom_site_type_symbol
_atom_site_fract_x
_atom_site_fract_y
_atom_site_fract_z
Ag1 Ag 0.000 0.000 0.000
Bi1 Bi 0.500 0.500 0.000
I1 I 0.500 0.500 0.500
Cl1 Cl 0.000 0.500 0.500